[1]
Compound: Tb5Pm5Dy2
Source: the Alexandria database
Functional: PBE
Structure: relaxed

Computed properties:
The energy relative to the elements comes out at 0.2 eV per formula unit. As for the space group: C2/m, No. 12. The calculation puts the theoretical density at 7.8 g cm⁻³. The excess energy over the best structure of this formula in the dataset is 0 meV per atom. The volume is 32.84 Å³ per atom.

a b c (Å): 8.037 8.037 11.380
angles (deg): 115.12 115.12 36.82
Fractional coordinates of all 12 atoms:
Tb  0.000  0.000  0.000
Tb  0.167  0.167  0.501
Tb  0.251  0.251  0.252
Tb  0.749  0.749  0.748
Tb  0.833  0.833  0.499
Pm  0.334  0.334  0.000
Pm  0.416  0.416  0.750
Pm  0.500  0.500  0.500
Pm  0.584  0.584  0.250
Pm  0.666  0.666  0.000
Dy  0.083  0.083  0.749
Dy  0.917  0.917  0.251

=====

[2]
Compound: Tb4Pm3Dy3
Source: the Alexandria database
Functional: PBE
Structure: relaxed

Computed properties:
The energy relative to the elements comes out at 1.0 eV per formula unit. As for the space group: Amm2, No. 38. The calculation puts the theoretical density at 7.8 g cm⁻³. The volume is 33.05 Å³ per atom.

a b c (Å): 3.709 9.439 9.439
angles (deg): 89.77 90.00 90.00
Fractional coordinates of all 10 atoms:
Tb  0.000  0.000  0.000
Tb  0.000  0.254  0.254
Tb  0.000  0.503  0.755
Tb  0.000  0.755  0.503
Pm  0.500  0.300  0.953
Pm  0.500  0.455  0.455
Pm  0.500  0.953  0.300
Dy  0.000  0.123  0.629
Dy  0.000  0.629  0.123
Dy  0.500  0.800  0.800

=====

Among the records above, which one has the highest volume? Tb4Pm3Dy3

=====

volume of number 1 (Tb5Pm5Dy2)? 32.84 Å³ per atom